1.
PuPt6 after structural relaxation. Source: Alexandria, functional PBE.

Cell: 6.7617 6.7617 5.3858 Å, 90.00 90.00 90.00°
Space group I4/mmm (No. 139)
Asymmetric unit:
1 Pu 0.0000 0.0000 0.0000
2 Pt 0.0000 0.5000 0.2500
3 Pt 0.2020 0.2020 0.5000

## Properties
- size of the total moment (μB per cell) = 7.99
- energy relative to the lowest polymorph listed for this composition (meV per atom) = 0
- formation energy (eV per atom) = -0.413

=====

2.
NdPuAgO6 after structural relaxation. Source: Alexandria, functional PBE.

Cell: 5.9514 5.9514 4.7563 Å, 90.00 90.00 120.00°
Space group P312 (No. 149)
Asymmetric unit:
1 Nd 0.0000 0.0000 0.0000
2 Pu 0.3333 0.6667 0.0000
3 Ag 0.6667 0.3333 0.5000
4 O 0.0560 0.3787 0.2231

## Properties
- size of the total moment (μB per cell) = 0.08
- uncorrected formation energy (eV/atom) = -1.976

=====

3.
ReSeBr4 after structural relaxation. Source: Alexandria, functional PBE.

Cell: 8.6992 8.6992 8.6992 Å, 90.00 90.00 90.00°
Space group F-43m (No. 216)
Asymmetric unit:
1 Re 0.0000 0.0000 0.0000
2 Se 0.2500 0.2500 0.7500
3 Br 0.1252 0.1252 0.3748

## Properties
- size of the total moment (μB per cell) = 16.14
- uncorrected formation energy (eV/atom) = 1.570

=====

4.
LaHfRu2Br after structural relaxation. Source: Alexandria, functional PBE.

Cell: 4.7298 4.7298 6.3977 Å, 90.00 90.00 90.00°
Space group P4/mmm (No. 123)
Asymmetric unit:
1 La 0.0000 0.0000 0.0000
2 Hf 0.0000 0.0000 0.5000
3 Ru 0.0000 0.5000 0.5000
4 Br 0.5000 0.5000 0.0000

## Properties
- size of the total moment (μB per cell) = 0.99
- uncorrected formation energy (eV/atom) = 0.753

=====

5.
Ca2LaTe4Pb after structural relaxation. Source: Alexandria, functional PBE.

Cell: 7.9208 4.5422 7.9615 Å, 90.00 109.32 90.00°
Space group P2/m (No. 10)
Asymmetric unit:
1 Ca 0.0000 0.0000 0.0000
2 Ca 0.0000 0.5000 0.5000
3 La 0.5000 0.0000 0.5000
4 Te 0.2423 0.0000 0.7465
5 Te 0.2420 0.5000 0.2468
6 Pb 0.5000 0.5000 0.0000

## Properties
- size of the total moment (μB per cell) = 0.00
- uncorrected formation energy (eV/atom) = -1.267

=====

6.
Pr2Zn5Rh4 after structural relaxation. Source: Alexandria, functional PBE.

Cell: 5.3939 9.5534 15.9158 Å, 90.00 90.00 90.00°
Space group Fmmm (No. 69)
Asymmetric unit:
1 Pr 0.0000 0.0000 0.1461
2 Zn 0.0000 0.0000 0.5000
3 Zn 0.2500 0.2500 0.0000
4 Zn 0.2500 0.2500 0.2500
5 Rh 0.0000 0.1533 0.3717

## Properties
- size of the total moment (μB per cell) = 0.00
- formation energy (eV per atom) = -0.450